# NaPt

Crystalline NaPt at its relaxed geometry (PBE, Alexandria).

Properties
Symmetry: Pm-3n, No. 223
Total DFT energy (no corrections) in eV per formula unit: -4.95

Lattice parameters (Å, degrees): 7.9696 7.9696 7.9696 90.00 90.00 90.00
Last column: magnetic moment on the atom in μB.
Atoms (fractional coordinates):
Na: 0.2500 0.5000 0.0000  0.00
Na: 0.7500 0.5000 0.0000  0.00
Na: 0.5000 0.0000 0.2500  0.00
Na: 0.5000 0.0000 0.7500  0.00
Na: 0.0000 0.2500 0.5000  0.00
Na: 0.0000 0.7500 0.5000  0.00
Pt: 0.2500 0.0000 0.5000  0.60
Pt: 0.7500 0.0000 0.5000  0.60
Pt: 0.0000 0.5000 0.2500  0.60
Pt: 0.0000 0.5000 0.7500  0.60
Pt: 0.5000 0.2500 0.0000  0.60
Pt: 0.5000 0.7500 0.0000  0.60